(1)
A plane-wave DFT calculation with GGA-PBE was carried out for an optimized crystal structure of Li2OsRu.

Cell and atoms, written as CIF:
```
data_Li2OsRu
_chemical_formula_sum 'Li8 Os4 Ru4'
_cell_length_a 6.6761
_cell_length_b 6.6761
_cell_length_c 4.8684
_cell_angle_alpha 90.00
_cell_angle_beta 90.00
_cell_angle_gamma 90.00
_symmetry_space_group_name_H-M 'I -4 2 d'
_symmetry_Int_Tables_number 122
_symmetry_space_group_name_Hall 'I -4 2bw'
loop_
_atom_site_label
_atom_site_type_symbol
_atom_site_fract_x
_atom_site_fract_y
_atom_site_fract_z
_atom_site_occupancy
Li1 Li 0.2458 0.2500 0.1250 1
Os1 Os 0.0000 0.0000 0.5000 1
Ru1 Ru 0.0000 0.0000 0.0000 1
```

(2)
A plane-wave DFT calculation with GGA-PBE was carried out for an optimized crystal structure of LiOs2Ru.

Cell and atoms, written as CIF:
```
data_LiOs2Ru
_chemical_formula_sum 'Li2 Os4 Ru2'
_cell_length_a 2.7558
_cell_length_b 4.5365
_cell_length_c 9.2103
_cell_angle_alpha 90.00
_cell_angle_beta 90.00
_cell_angle_gamma 90.00
_symmetry_space_group_name_H-M 'C m m 2'
_symmetry_Int_Tables_number 35
_symmetry_space_group_name_Hall 'C 2 -2'
loop_
_atom_site_label
_atom_site_type_symbol
_atom_site_fract_x
_atom_site_fract_y
_atom_site_fract_z
_atom_site_occupancy
Li1 Li 0.0000 0.0000 0.0000 1
Os1 Os 0.0000 0.0000 0.5026 1
Os2 Os 0.0000 0.5000 0.2513 1
Ru1 Ru 0.0000 0.5000 0.7502 1
```

(3)
A plane-wave DFT calculation with GGA-PBE was carried out for an optimized crystal structure of LiOsRu2S.

Cell and atoms, written as CIF:
```
data_LiOsRu2S
_chemical_formula_sum 'Li1 Os1 Ru2 S1'
_cell_length_a 4.3312
_cell_length_b 4.3312
_cell_length_c 4.3310
_cell_angle_alpha 90.00
_cell_angle_beta 90.00
_cell_angle_gamma 90.00
_symmetry_space_group_name_H-M 'P 4/m m m'
_symmetry_Int_Tables_number 123
_symmetry_space_group_name_Hall '-P 4 2'
loop_
_atom_site_label
_atom_site_type_symbol
_atom_site_fract_x
_atom_site_fract_y
_atom_site_fract_z
_atom_site_occupancy
Li1 Li 0.0000 0.0000 0.0000 1
Os1 Os 0.5000 0.5000 0.0000 1
Ru1 Ru 0.0000 0.5000 0.5000 1
S1 S 0.5000 0.5000 0.5000 1
```

Taking the records one at a time from the top gives energy values of -5.228, -7.962, -6.578 eV per atom.
Taking the records one at a time from the top gives theoretical density values of 9342, 14089, 8817 kg/m3.